This record from Alexandria describes crystalline BaYFe3 at its relaxed geometry. The functional is PBE.

Results
* ΔE to the lowest computed polymorph: 0.00 eV/f.u.
* density: 4.78 Mg/m³

a b c (Å): 5.1533 5.1533 5.1533
angles (deg): 90.00 90.00 90.00
Fractional coordinates of all 5 atoms:
Ba 0.0000 0.0000 0.0000
Y 0.5000 0.5000 0.5000
Fe 0.0000 0.5000 0.5000
Fe 0.5000 0.0000 0.5000
Fe 0.5000 0.5000 0.0000

---

This record from Alexandria describes crystalline BaYFe4 at its relaxed geometry. The functional is PBE.

Results
* density: 6.99 Mg/m³

a b c (Å): 5.3258 5.3258 5.3258
angles (deg): 60.00 60.00 60.00
Fractional coordinates of all 6 atoms:
Ba 0.0000 0.0000 0.0000
Y 0.2500 0.2500 0.2500
Fe 0.1330 0.6223 0.6223
Fe 0.6223 0.1330 0.6223
Fe 0.6223 0.6223 0.1330
Fe 0.6223 0.6223 0.6223

---

This record from Alexandria describes crystalline BaY2Fe at its relaxed geometry. The functional is PBE.

Results
* ΔE to the lowest computed polymorph: 1.38 eV/f.u.
* density: 3.74 Mg/m³

a b c (Å): 7.7525 7.7525 7.7525
angles (deg): 60.00 60.00 60.00
Fractional coordinates of all 8 atoms:
Ba 0.1250 0.1250 0.1250
Ba 0.8750 0.8750 0.8750
Y 0.0000 0.5000 0.5000
Y 0.5000 0.0000 0.5000
Y 0.5000 0.5000 0.0000
Y 0.5000 0.5000 0.5000
Fe 0.3750 0.3750 0.3750
Fe 0.6250 0.6250 0.6250

---

This record from Alexandria describes crystalline BaYFe2 at its relaxed geometry. The functional is PBE.

Results
* ΔE to the lowest computed polymorph: 2.48 eV/f.u.
* density: 6.26 Mg/m³

a b c (Å): 5.0225 5.0225 5.0225
angles (deg): 60.00 60.00 60.00
Fractional coordinates of all 4 atoms:
Ba 0.0000 0.0000 0.0000
Y 0.2500 0.2500 0.2500
Fe 0.5000 0.5000 0.5000
Fe 0.7500 0.7500 0.7500

---

This record from Alexandria describes crystalline Ba2YFe at its relaxed geometry. The functional is PBE.

Results
* ΔE to the lowest computed polymorph: 1.26 eV/f.u.
* density: 4.01 Mg/m³

a b c (Å): 8.6628 8.6628 8.6628
angles (deg): 94.89 94.89 146.06
Fractional coordinates of all 8 atoms:
Ba 0.3750 0.2145 0.3395
Ba 0.7855 0.1250 0.1605
Ba 0.8750 0.0355 0.6605
Ba 0.9645 0.6250 0.8395
Y 0.2500 0.7500 0.5000
Y 0.5000 0.5000 0.0000
Fe 0.0000 0.0000 0.0000
Fe 0.7500 0.2500 0.5000

---

This record from Alexandria describes crystalline BaY2Fe at its relaxed geometry. The functional is PBE.

Results
* ΔE to the lowest computed polymorph: 1.78 eV/f.u.
* density: 5.12 Mg/m³

a b c (Å): 6.1021 6.1021 6.1021
angles (deg): 132.72 132.72 69.09
Fractional coordinates of all 4 atoms:
Ba 0.0000 0.0000 0.0000
Y 0.5000 0.5000 0.0000
Y 0.7500 0.2500 0.5000
Fe 0.2500 0.7500 0.5000

---

This record from Alexandria describes crystalline BaY2Fe at its relaxed geometry. The functional is PBE.

Results
* ΔE to the lowest computed polymorph: 0.43 eV/f.u.
* density: 4.62 Mg/m³

a b c (Å): 3.8219 8.7454 8.7454
angles (deg): 27.12 90.00 90.00
Fractional coordinates of all 4 atoms:
Ba 0.0000 0.0000 0.0000
Y 0.0000 0.3096 0.3096
Y 0.5000 0.6826 0.6826
Fe 0.5000 0.8341 0.8341

---

This record from Alexandria describes crystalline BaY2Fe at its relaxed geometry. The functional is PBE.

Results
* ΔE to the lowest computed polymorph: 0.60 eV/f.u.
* density: 4.91 Mg/m³

a b c (Å): 6.6466 6.6466 6.6466
angles (deg): 148.09 125.12 64.90
Fractional coordinates of all 4 atoms:
Ba 0.0000 0.0000 0.0000
Y 0.3162 0.8162 0.5000
Y 0.6838 0.1838 0.5000
Fe 0.5000 0.5000 0.0000

---

This record from Alexandria describes crystalline BaY2Fe at its relaxed geometry. The functional is PBE.

Results
* ΔE to the lowest computed polymorph: 0.00 eV/f.u.
* density: 5.14 Mg/m³

a b c (Å): 3.4531 3.4531 10.0471
angles (deg): 90.00 90.00 90.00
Fractional coordinates of all 4 atoms:
Ba 0.0000 0.0000 0.0000
Y 0.5000 0.5000 0.3419
Y 0.5000 0.5000 0.6581
Fe 0.0000 0.0000 0.5000

---

This record from Alexandria describes crystalline Ba2Y2Fe at its relaxed geometry. The functional is PBE.

Results
* ΔE to the lowest computed polymorph: 0.67 eV/f.u.
* density: 4.99 Mg/m³

a b c (Å): 7.3410 7.3410 6.2795
angles (deg): 90.00 90.00 90.00
Fractional coordinates of all 10 atoms:
Ba 0.1680 0.3320 0.0000
Ba 0.3320 0.8320 0.0000
Ba 0.6680 0.1680 0.0000
Ba 0.8320 0.6680 0.0000
Y 0.1743 0.6743 0.5000
Y 0.3257 0.1743 0.5000
Y 0.6743 0.8257 0.5000
Y 0.8257 0.3257 0.5000
Fe 0.0000 0.0000 0.0000
Fe 0.5000 0.5000 0.0000

---

This record from Alexandria describes crystalline BaYFe2 at its relaxed geometry. The functional is PBE.

Results
* ΔE to the lowest computed polymorph: 2.52 eV/f.u.
* density: 5.62 Mg/m³

a b c (Å): 8.9159 8.9159 8.9159
angles (deg): 23.61 23.61 23.61
Fractional coordinates of all 4 atoms:
Ba 0.0000 0.0000 0.0000
Y 0.5000 0.5000 0.5000
Fe 0.2427 0.2427 0.2427
Fe 0.7573 0.7573 0.7573

---

This record from Alexandria describes crystalline BaY2Fe at its relaxed geometry. The functional is PBE.

Results
* ΔE to the lowest computed polymorph: 1.93 eV/f.u.
* density: 5.03 Mg/m³

a b c (Å): 6.8057 6.8057 3.5126
angles (deg): 104.08 104.08 120.30
Fractional coordinates of all 4 atoms:
Ba 0.0000 0.0000 0.0000
Y 0.0000 0.5000 0.5000
Y 0.5000 0.0000 0.5000
Fe 0.5000 0.5000 0.0000

---

DFT formation energy for the records above, in order: 1.20, 0.37, 0.54, 0.83, 0.65, 0.63, 0.30, 0.34, 0.19, 0.89, 0.84, 0.67 eV per atom